Entry 1:
Nb3ZnCd | PBE | relaxed

abc: 4.746 4.746 4.746
angles: 90.00 90.00 90.00
Space group Pm-3m (No. 221)
Unique sites:
Nb1 0.000 0.000 0.500 (multiplicity 3)
Zn1 0.000 0.000 0.000 (multiplicity 1)
Cd1 0.500 0.500 0.500 (multiplicity 1)

Output
- calculated total energy (eV per atom) = -5.410
- M_tot (μB per atom) = 0.000

Entry 2:
CsBiH2 | PBE | relaxed

abc: 5.539 14.235 6.126
angles: 90.00 90.00 90.00
Space group Pna2_1 (No. 33)
Unique sites:
Cs1 0.002 0.119 0.000 (multiplicity 4)
Bi1 0.002 0.332 0.498 (multiplicity 4)
H1 0.212 0.572 0.923 (multiplicity 4)
H2 0.231 0.424 0.566 (multiplicity 4)

Output
- calculated total energy (eV per atom) = -2.893
- M_tot (μB per atom) = 0.000

Entry 3:
Ba3YPa2N6 | PBE | relaxed

abc: 6.300 10.902 6.782
angles: 90.00 108.03 90.00
Space group C2/m (No. 12)
Unique sites:
Ba1 0.000 0.000 0.000 (multiplicity 2)
Ba2 0.000 0.338 0.000 (multiplicity 4)
Y1 0.000 0.500 0.500 (multiplicity 2)
Pa1 0.000 0.167 0.500 (multiplicity 4)
N1 0.208 0.000 0.678 (multiplicity 4)
N2 0.236 0.324 0.682 (multiplicity 8)

Output
- formation energy (no corrections) (eV/atom) = -1.25
- M_tot (μB per atom) = 0.000

Entry 4:
TlS2NF | PBE | relaxed

abc: 4.336 4.336 5.293
angles: 90.00 90.00 90.00
Space group P4/mmm (No. 123)
Unique sites:
Tl1 0.000 0.000 0.000 (multiplicity 1)
S1 0.000 0.500 0.500 (multiplicity 2)
N1 0.500 0.500 0.000 (multiplicity 1)
F1 0.500 0.500 0.500 (multiplicity 1)

Output
- formation energy (no corrections) (eV/atom) = 1.16
- M_tot (μB per atom) = 0.611

Among the records above, which one has the highest M_tot? TlS2NF